1.
# PBE-GGA InCoSiSe2, optimized geometry
# final energy	-15.98	eV/cell
# density of states at the Fermi level	4.81	states/eV/cell
data_InCoSiSe2
_cell_length_a 5.324
_cell_length_b 5.324
_cell_length_c 4.970
_cell_angle_alpha 90.00
_cell_angle_beta 90.00
_cell_angle_gamma 90.00
_symmetry_space_group_name_H-M 'P 4/m m m'
_symmetry_Int_Tables_number 123
_symmetry_space_group_name_Hall '-P 4 2'
loop_
_atom_site_label
_atom_site_type_symbol
_atom_site_fract_x
_atom_site_fract_y
_atom_site_fract_z
_atom_site_occupancy
In1 In 0.000 0.000 0.000 1
Co1 Co 0.500 0.500 0.500 1
Si1 Si 0.000 0.000 0.500 1
Se1 Se 0.000 0.500 0.000 1

***

2.
# PBE-GGA TaInCoSe3, optimized geometry
# final energy	-70.47	eV/cell
# density of states at the Fermi level	5.26	states/eV/cell
data_TaInCoSe3
_cell_length_a 8.275
_cell_length_b 3.553
_cell_length_c 9.968
_cell_angle_alpha 90.00
_cell_angle_beta 111.38
_cell_angle_gamma 90.00
_symmetry_space_group_name_H-M 'P 1 21/m 1'
_symmetry_Int_Tables_number 11
loop_
_symmetry_equiv_pos_as_xyz
'x,y,z'
'-x,-y,-z'
'-x,y+1/2,-z'
'x,-y+1/2,z'
loop_
_atom_site_label
_atom_site_type_symbol
_atom_site_fract_x
_atom_site_fract_y
_atom_site_fract_z
_atom_site_occupancy
Ta1 Ta 0.035 0.250 0.318 1
In1 In 0.473 0.750 0.797 1
Co1 Co 0.028 0.750 0.111 1
Se1 Se 0.168 0.250 0.614 1
Se2 Se 0.177 0.750 0.943 1
Se3 Se 0.268 0.750 0.333 1

***

3.
# PBE-GGA Ta2In2CoSe6, optimized geometry
# final energy	-124.51	eV/cell
# density of states at the Fermi level	6.66	states/eV/cell
data_Ta2In2CoSe6
_cell_length_a 6.044
_cell_length_b 10.902
_cell_length_c 8.538
_cell_angle_alpha 90.00
_cell_angle_beta 102.00
_cell_angle_gamma 90.00
_symmetry_space_group_name_H-M 'C 1 2/m 1'
_symmetry_Int_Tables_number 12
loop_
_symmetry_equiv_pos_as_xyz
'x,y,z'
'-x,-y,-z'
'-x,y,-z'
'x,-y,z'
'x+1/2,y+1/2,z'
'-x+1/2,-y+1/2,-z'
'-x+1/2,y+1/2,-z'
'x+1/2,-y+1/2,z'
loop_
_atom_site_label
_atom_site_type_symbol
_atom_site_fract_x
_atom_site_fract_y
_atom_site_fract_z
_atom_site_occupancy
Ta1 Ta 0.000 0.136 0.000 1
In1 In 0.000 0.229 0.500 1
Co1 Co 0.000 0.500 0.000 1
Se1 Se 0.101 0.333 0.830 1
Se2 Se 0.134 0.000 0.793 1